The following is a PBE calculation of PuTh2Fe after structural relaxation, from Alexandria via LeMat-Bulk.

Structure (CIF):
```
data_PuTh2Fe
_space_group_name_H-M_alt 'P n m a'
_space_group_IT_number 62
_cell_length_a 7.1575
_cell_length_b 9.6482
_cell_length_c 5.9518
_cell_angle_alpha 90.00
_cell_angle_beta 90.00
_cell_angle_gamma 90.00
loop_
_space_group_symop_operation_xyz
'x,y,z'
'-x,-y,-z'
'-x+1/2,-y,z+1/2'
'x+1/2,y,-z+1/2'
'x+1/2,-y+1/2,-z+1/2'
'-x+1/2,y+1/2,z+1/2'
'-x,y+1/2,-z'
'x,-y+1/2,z'
loop_
_atom_site_label
_atom_site_fract_x
_atom_site_fract_y
_atom_site_fract_z
Pu1 0.0823 0.2500 0.2062
Th1 0.1341 0.0578 0.7203
Fe1 0.1394 0.7500 0.4931
```

Output
Magnetic moment: 17.966 μB per cell
Raw total energy: -9.43 eV per atom
N(E_F): 6.6 states/eV/f.u.



The following is a PBE calculation of Na4Cd5In3 after structural relaxation, from Alexandria via LeMat-Bulk.

Structure (CIF):
```
data_Na4Cd5In3
_space_group_name_H-M_alt 'P -1'
_space_group_IT_number 2
_cell_length_a 5.4069
_cell_length_b 5.7374
_cell_length_c 11.9411
_cell_angle_alpha 78.68
_cell_angle_beta 78.39
_cell_angle_gamma 65.09
loop_
_space_group_symop_operation_xyz
'x,y,z'
'-x,-y,-z'
loop_
_atom_site_label
_atom_site_fract_x
_atom_site_fract_y
_atom_site_fract_z
Na1 0.0584 0.0187 0.3454
Na2 0.3247 0.8154 0.0250
Cd1 0.0000 0.5000 0.5000
Cd2 0.0192 0.3817 0.1147
Cd3 0.2961 0.2478 0.7234
In1 0.4364 0.3734 0.2598
In2 0.5000 0.0000 0.5000
```

Output
Magnetic moment: 0.000 μB per cell
Raw total energy: -1.54 eV per atom
N(E_F): 4.3 states/eV/f.u.



The following is a PBE calculation of MgMn2OsC after structural relaxation, from Alexandria via LeMat-Bulk.

Structure (CIF):
```
data_MgMn2OsC
_space_group_name_H-M_alt 'P 4/m m m'
_space_group_IT_number 123
_space_group_name_Hall '-P 4 2'
_cell_length_a 4.0190
_cell_length_b 4.0190
_cell_length_c 4.0193
_cell_angle_alpha 90.00
_cell_angle_beta 90.00
_cell_angle_gamma 90.00
loop_
_atom_site_label
_atom_site_fract_x
_atom_site_fract_y
_atom_site_fract_z
Mg1 0.0000 0.0000 0.0000
Mn1 0.0000 0.5000 0.5000
Os1 0.5000 0.5000 0.0000
C1 0.5000 0.5000 0.5000
```

Output
Magnetic moment: 5.905 μB per cell
Raw total energy: -8.01 eV per atom
N(E_F): 3.1 states/eV/f.u.



The following is a PBE calculation of Ac3In2AgPd6 after structural relaxation, from Alexandria via LeMat-Bulk.

Structure (CIF):
```
data_Ac3In2AgPd6
_space_group_name_H-M_alt 'P -3 m 1'
_space_group_IT_number 164
_space_group_name_Hall '-P 3 2"'
_cell_length_a 5.9375
_cell_length_b 5.9375
_cell_length_c 9.1817
_cell_angle_alpha 90.00
_cell_angle_beta 90.00
_cell_angle_gamma 120.00
loop_
_atom_site_label
_atom_site_fract_x
_atom_site_fract_y
_atom_site_fract_z
Ac1 0.0000 0.0000 0.0000
Ac2 0.3333 0.6667 0.6181
In1 0.3333 0.6667 0.0181
Ag1 0.0000 0.0000 0.5000
Pd1 0.1743 0.3487 0.2738
```

Output
Magnetic moment: 0.000 μB per cell
Raw total energy: -4.94 eV per atom
N(E_F): 4.6 states/eV/f.u.



The following is a PBE calculation of CrTcPt2 after structural relaxation, from Alexandria via LeMat-Bulk.

Structure (CIF):
```
data_CrTcPt2
_space_group_name_H-M_alt 'P 4/m m m'
_space_group_IT_number 123
_space_group_name_Hall '-P 4 2'
_cell_length_a 2.6974
_cell_length_b 2.6974
_cell_length_c 7.9049
_cell_angle_alpha 90.00
_cell_angle_beta 90.00
_cell_angle_gamma 90.00
loop_
_atom_site_label
_atom_site_fract_x
_atom_site_fract_y
_atom_site_fract_z
Cr1 0.0000 0.0000 0.0000
Tc1 0.0000 0.0000 0.5000
Pt1 0.5000 0.5000 0.2403
```

Output
Magnetic moment: 1.430 μB per cell
Raw total energy: -8.14 eV per atom
N(E_F): 3.7 states/eV/f.u.



The following is a PBE calculation of Cs2TmAg3F12 after structural relaxation, from Alexandria via LeMat-Bulk.

Structure (CIF):
```
data_Cs2TmAg3F12
_space_group_name_H-M_alt 'R -3 m'
_space_group_IT_number 166
_space_group_name_Hall '-R 3 2"'
_cell_length_a 7.9336
_cell_length_b 7.9336
_cell_length_c 20.0993
_cell_angle_alpha 90.00
_cell_angle_beta 90.00
_cell_angle_gamma 120.00
loop_
_atom_site_label
_atom_site_fract_x
_atom_site_fract_y
_atom_site_fract_z
Cs1 0.0000 0.0000 0.1266
Tm1 0.0000 0.0000 0.5000
Ag1 0.0000 0.5000 0.0000
F1 0.0658 0.5329 0.1113
F2 0.0748 0.5374 0.3532
```

Output
Magnetic moment: 2.166 μB per cell
N(E_F): 10.1 states/eV/f.u.
Formation energy (no corrections): -2.17 eV/atom



The following is a PBE calculation of HfTiGe2 after structural relaxation, from Alexandria via LeMat-Bulk.

Structure (CIF):
```
data_HfTiGe2
_space_group_name_H-M_alt 'P b c m'
_space_group_IT_number 57
_cell_length_a 7.8789
_cell_length_b 6.8687
_cell_length_c 5.5471
_cell_angle_alpha 90.00
_cell_angle_beta 90.00
_cell_angle_gamma 90.00
loop_
_space_group_symop_operation_xyz
'x,y,z'
'-x,-y,-z'
'-x,-y,z+1/2'
'x,y,-z+1/2'
'x,-y+1/2,-z'
'-x,y+1/2,z'
'-x,y+1/2,-z+1/2'
'x,-y+1/2,z+1/2'
loop_
_atom_site_label
_atom_site_fract_x
_atom_site_fract_y
_atom_site_fract_z
Hf1 0.1250 0.0894 0.2500
Ti1 0.3750 0.5753 0.2500
Ge1 0.1382 0.7500 0.0000
Ge2 0.3879 0.2500 0.0000
```

Output
Magnetic moment: 0.000 μB per cell
Raw total energy: -7.30 eV per atom
N(E_F): 0.8 states/eV/f.u.



The following is a PBE calculation of La2NiBr after structural relaxation, from Alexandria via LeMat-Bulk.

Structure (CIF):
```
data_La2NiBr
_space_group_name_H-M_alt 'I m m m'
_space_group_IT_number 71
_space_group_name_Hall '-I 2 2'
_cell_length_a 4.3714
_cell_length_b 6.0632
_cell_length_c 7.9547
_cell_angle_alpha 90.00
_cell_angle_beta 90.00
_cell_angle_gamma 90.00
loop_
_atom_site_label
_atom_site_fract_x
_atom_site_fract_y
_atom_site_fract_z
La1 0.0000 0.0000 0.2323
Ni1 0.0000 0.5000 0.5000
Br1 0.0000 0.5000 0.0000
```

Output
Magnetic moment: 0.339 μB per cell
N(E_F): 3.6 states/eV/f.u.
Formation energy (no corrections): -0.57 eV/atom